# Na2FeAgO4 PBE with a Hubbard U optimized geometry
# Spin magnetization in Bohr magnetons per cell: 10.0
# E in eV per atom: -4.8806
data_Na2FeAgO4
_cell_length_a 5.860
_cell_length_b 5.860
_cell_length_c 6.282
_cell_angle_alpha 90.00
_cell_angle_beta 90.00
_cell_angle_gamma 90.00
_symmetry_space_group_name_H-M 'I -4'
_symmetry_Int_Tables_number 82
_symmetry_space_group_name_Hall 'I -4'
loop_
_atom_site_label
_atom_site_fract_x
_atom_site_fract_y
_atom_site_fract_z
Na1 0.000 0.000 0.000
Na2 0.000 0.500 0.250
Fe1 0.000 0.000 0.500
Ag1 0.000 0.500 0.750
O1 0.161 0.196 0.693